MgFeF | Alexandria | PBE+U | relaxed; relative energy among the computed polymorphs = 0.000 eV/f.u.; energy = -4.2746 eV/atom; size of the total moment = 1.0933 μB per atom
1.0
2.963 0.000 0.000
1.412 2.605 0.000
0.667 0.446 11.957
Mg Fe F
2 2 2
direct
0.115 0.125 0.206
0.885 0.875 0.794
0.257 0.257 0.594
0.743 0.743 0.406
0.210 0.198 0.879
0.790 0.802 0.121